Material: Pu5WN8
Method: DFT, PBE
State: relaxed

Lattice parameters (Å, degrees): 6.170 6.170 6.170 109.88 108.66 109.88
Fractional positions:
W: 0.250 0.500 0.750
N: 0.243 0.274 0.411
N: 0.747 0.247 0.366
N: 0.589 0.832 0.862
N: 0.120 0.753 0.500
N: 0.500 0.619 0.253
N: 0.138 0.726 0.970
N: 0.030 0.168 0.757
N: 0.634 0.381 0.880
Pu: 0.500 0.000 0.500
Pu: 0.017 0.394 0.134
Pu: 0.377 0.117 0.983
Pu: 0.740 0.606 0.623
Pu: 0.866 0.883 0.260

Formation energy from raw total energies ... -884 meV/atom
SG ... I-4, No. 82
Calculated total energy ... -163.6 eV/cell
DOS(E_F) ... 1.8595 states/eV per atom